The following is a PBE-GGA calculation of crystalline Dy2Zn3Pd5 at its relaxed geometry, from the Alexandria database.

- energy of formation from the pure elements (eV per formula unit) = -6.235
- crystal system = orthorhombic

Cell lengths 5.7613, 8.4890, 8.4890 Å; angles 83.62, 70.16, 70.16 degrees
Fractional coordinates of all 20 atoms:
Dy: 0.1317 0.5917 0.1448
Dy: 0.6317 0.1448 0.5917
Dy: 0.8683 0.4083 0.8552
Dy: 0.3683 0.8552 0.4083
Zn: 0.3625 0.5159 0.7590
Zn: 0.8625 0.7590 0.5159
Zn: 0.6375 0.4841 0.2410
Zn: 0.1375 0.2410 0.4841
Zn: 0.2500 0.0000 0.0000
Zn: 0.7500 0.0000 0.0000
Pd: 0.4000 0.2657 0.9343
Pd: 0.9000 0.9343 0.2657
Pd: 0.6000 0.7343 0.0657
Pd: 0.1000 0.0657 0.7343
Pd: 0.4793 0.7707 0.7707
Pd: 0.5207 0.2293 0.2293
Pd: 0.7500 0.5000 0.5000
Pd: 0.2500 0.5000 0.5000
Pd: 0.0207 0.2293 0.2293
Pd: 0.9793 0.7707 0.7707